Gd2Ni7 | PBE | optimized geometry

Results
Volume   510 Å³ per cell
ΔH_f (0 K)   -0.376 eV per atom
Calculated density   9438 kg/m3
Total energy   -51.7 eV per formula unit

```
data_Gd2Ni7
_chemical_formula_sum 'Gd8 Ni28'
_space_group_name_H-M_alt 'P 63/m m c'
_space_group_IT_number 194
_space_group_name_Hall '-P 6c 2c'
_cell_length_a 4.9389
_cell_length_b 4.9389
_cell_length_c 24.1657
_cell_angle_alpha 90.00
_cell_angle_beta 90.00
_cell_angle_gamma 120.00
loop_
_atom_site_label
_atom_site_fract_x
_atom_site_fract_y
_atom_site_fract_z
Gd1 0.3333 0.6667 0.0294
Gd2 0.3333 0.6667 0.1741
Ni1 0.0000 0.0000 0.0000
Ni2 0.0000 0.0000 0.1680
Ni3 0.1670 0.3340 0.5859
Ni4 0.1669 0.3337 0.7500
Ni5 0.3333 0.6667 0.6675
```

Gd3Ni2 | PBE | optimized geometry

Results
Volume   457 Å³ per cell
ΔH_f (0 K)   -0.343 eV per atom
Calculated density   8560 kg/m3
Total energy   -26.8 eV per formula unit

```
data_Gd3Ni2
_chemical_formula_sum 'Gd12 Ni8'
_space_group_name_H-M_alt 'C 1 2/m 1'
_space_group_IT_number 12
_cell_length_a 13.384
_cell_length_b 3.695
_cell_length_c 9.612
_cell_angle_alpha 90.00
_cell_angle_beta 105.92
_cell_angle_gamma 90.00
loop_
_space_group_symop_operation_xyz
'x,y,z'
'-x,-y,-z'
'-x,y,-z'
'x,-y,z'
'x+1/2,y+1/2,z'
'-x+1/2,-y+1/2,-z'
'-x+1/2,y+1/2,-z'
'x+1/2,-y+1/2,z'
loop_
_atom_site_label
_atom_site_fract_x
_atom_site_fract_y
_atom_site_fract_z
Gd1 0.097 0.000 0.173
Gd2 0.131 0.500 0.498
Gd3 0.145 0.500 0.868
Ni1 0.035 0.000 0.644
Ni2 0.244 0.000 0.727
```

GdNi2P2 | PBE | optimized geometry

Results
Volume   145 Å³ per cell
Calculated density   7713 kg/m3
Total energy   -31.6 eV per formula unit

```
data_GdNi2P2
_chemical_formula_sum 'Gd2 Ni4 P4'
_space_group_name_H-M_alt 'P 4/n m m'
_space_group_IT_number 129
_cell_length_a 3.996
_cell_length_b 3.996
_cell_length_c 9.077
_cell_angle_alpha 90.00
_cell_angle_beta 90.00
_cell_angle_gamma 90.00
loop_
_space_group_symop_operation_xyz
'x,y,z'
'-x,-y,-z'
'-y+1/2,x,z'
'y+1/2,-x,-z'
'-x+1/2,-y+1/2,z'
'x+1/2,y+1/2,-z'
'y,-x+1/2,z'
'-y,x+1/2,-z'
'x+1/2,-y,-z'
'-x+1/2,y,z'
'-y,-x,-z'
'y,x,z'
'-x,y+1/2,-z'
'x,-y+1/2,z'
'y+1/2,x+1/2,-z'
'-y+1/2,-x+1/2,z'
loop_
_atom_site_label
_atom_site_fract_x
_atom_site_fract_y
_atom_site_fract_z
Gd1 0.250 0.250 0.247
Ni1 0.250 0.250 0.883
Ni2 0.250 0.750 0.500
P1 0.250 0.250 0.631
P2 0.250 0.750 0.000
```

GdNiP2Pd | PBE | optimized geometry

Results
Volume   156 Å³ per cell
Calculated density   8197 kg/m3
Total energy   -30.9 eV per formula unit

```
data_GdNiP2Pd
_chemical_formula_sum 'Gd2 Ni2 P4 Pd2'
_space_group_name_H-M_alt 'I -4 m 2'
_space_group_IT_number 119
_space_group_name_Hall 'I -4 -2'
_cell_length_a 4.000
_cell_length_b 4.000
_cell_length_c 9.731
_cell_angle_alpha 90.00
_cell_angle_beta 90.00
_cell_angle_gamma 90.00
loop_
_atom_site_label
_atom_site_fract_x
_atom_site_fract_y
_atom_site_fract_z
Gd1 0.000 0.000 0.000
Ni1 0.000 0.500 0.750
P1 0.000 0.000 0.384
Pd1 0.000 0.500 0.250
```